First-principles (PBE+U) data for a relaxed structure of Li3V2O4F2, as listed in the Alexandria database.

Results
DFT total energy = -279.6 eV/cell
energy above the most stable polymorph in this dataset = 2.0 kJ per mole of atoms

Cell and atoms, written as CIF:
```
data_Li3V2O4F2
_chemical_formula_sum 'Li12 V8 O16 F8'
_cell_length_a 10.3022
_cell_length_b 5.9647
_cell_length_c 8.6996
_cell_angle_alpha 90.00
_cell_angle_beta 122.82
_cell_angle_gamma 90.00
_space_group_name_H-M_alt 'C 1 2/m 1'
_space_group_IT_number 12
loop_
_space_group_symop_operation_xyz
'x,y,z'
'-x,-y,-z'
'-x,y,-z'
'x,-y,z'
'x+1/2,y+1/2,z'
'-x+1/2,-y+1/2,-z'
'-x+1/2,y+1/2,-z'
'x+1/2,-y+1/2,z'
loop_
_atom_site_label
_atom_site_fract_x
_atom_site_fract_y
_atom_site_fract_z
Li1 0.0355 0.2368 0.3762
Li2 0.2452 0.5000 0.6410
V1 0.0000 0.2536 0.0000
V2 0.2425 0.0000 0.9810
O1 0.0044 0.0000 0.8436
O2 0.0183 0.5000 0.8606
O3 0.2213 0.2354 0.1361
F1 0.0000 0.0000 0.5000
F2 0.0000 0.5000 0.5000
F3 0.2500 0.2500 0.5000
```